Below is a relaxed CePr2Pt3 crystal, with properties calculated at the PBE-GGA level.

ΔE_f: -1.04 eV per atom
electronic total energy: -6.6417 eV/atom
total magnetic moment: 1.5 μB/cell

Unit cell a=13.291 b=5.940 c=8.384 alpha=90.00 beta=108.43 gamma=90.00
Space group C2/c (No. 15)
Asymmetric unit:
Ce: 0.000 0.001 0.250 x4
Pr: 0.168 0.499 0.084 x8
Pt: 0.000 0.499 0.750 x4
Pt: 0.158 0.001 0.579 x8